VASP calculation (GGA-PBE) on KScAgS2 after structural relaxation.

DOS(E_F): 4.8 states/eV/f.u.
Magnetic moment: 0.882 μB per formula unit
ΔE to the lowest computed polymorph: 2.058 eV per atom
Final energy: -2.72 eV per atom
Formation energy without anion corrections: 4.9 eV/f.u.

```
KScAgS2
1.0
5.394 0.000 0.000
0.000 5.394 0.000
0.000 0.000 4.827
K Sc Ag S
1 1 1 2
direct
0.000 0.000 0.000 K
0.000 0.000 0.500 Sc
0.500 0.500 0.500 Ag
0.000 0.500 0.000 S
0.500 0.000 0.000 S
```